Record 1
Compound: CoBi2RuPt
Source: the Alexandria database
Functional: GGA-PBE
Structure: relaxed

Output
- Crystal system: tetragonal
- DOS at the Fermi energy: 1.40 states/eV per atom
- Electronic total energy: -4.611 eV per atom
- Symmetry: No. 123

Structure (POSCAR):
```
CoBi2RuPt
1.0
-3.5020 3.2106 -2.5078
-3.4674 -1.4761 2.9522
1.2067 3.9761 3.4053
Ru Co Bi Pt
1 1 2 1
direct
0.0000 0.5000 0.0000
0.5000 0.5000 0.5000
0.0000 0.0000 0.5000
0.5000 0.0000 0.0000
0.0000 0.0000 0.0000
```

Record 2
Compound: MnTeN2
Source: the Alexandria database
Functional: GGA-PBE
Structure: relaxed

Output
- Crystal system: tetragonal
- Uncorrected formation energy: 0.488 eV per atom
- DOS at the Fermi energy: 0.79 states/eV per atom
- Electronic total energy: -6.752 eV per atom
- Symmetry: No. 122

Structure (POSCAR):
```
MnTeN2
1.0
-4.8300 2.4872 -1.3928
-1.6681 -4.6881 -2.5873
-4.8845 -2.3838 1.3898
Te Mn N
2 2 4
direct
0.0000 0.0000 0.0000
0.7500 0.2500 0.5000
0.5000 0.5000 0.0000
0.2500 0.7500 0.5000
0.3766 0.1250 0.2500
0.3734 0.6250 0.2500
0.3750 0.6234 0.7500
0.8750 0.6266 0.7500
```

Record 3
Compound: PrNdLu4
Source: the Alexandria database
Functional: GGA-PBE
Structure: relaxed

Output
- Crystal system: cubic
- DOS at the Fermi energy: 1.95 states/eV per atom
- Electronic total energy: -4.340 eV per atom
- Symmetry: No. 216

Structure (POSCAR):
```
PrNdLu4
1.0
6.6352 0.0000 0.0000
3.3176 5.7462 0.0000
3.3176 1.9154 5.4176
Pr Lu Nd
1 4 1
direct
0.2500 0.2500 0.2500
0.6251 0.6251 0.1248
0.6251 0.1248 0.6251
0.6251 0.6251 0.6251
0.1248 0.6251 0.6251
0.0000 0.0000 0.0000
```

Record 4
Compound: Rb3OsS
Source: the Alexandria database
Functional: GGA-PBE
Structure: relaxed

Output
- Crystal system: cubic
- Uncorrected formation energy: 0.707 eV per atom
- DOS at the Fermi energy: 0.91 states/eV per atom
- Electronic total energy: -2.945 eV per atom
- Relative energy among the computed polymorphs: 0.000 eV per atom
- Symmetry: No. 221

Structure (POSCAR):
```
Rb3OsS
1.0
6.3547 0.0000 0.0000
0.0000 6.3547 0.0000
0.0000 0.0000 6.3547
S Os Rb
1 1 3
direct
0.0000 0.0000 0.0000
0.5000 0.5000 0.5000
0.0000 0.5000 0.0000
0.0000 0.0000 0.5000
0.5000 0.0000 0.0000
```

Record 5
Compound: InCoPt2
Source: the Alexandria database
Functional: GGA-PBE
Structure: relaxed

Output
- Crystal system: tetragonal
- DOS at the Fermi energy: 1.22 states/eV per atom
- Electronic total energy: -5.680 eV per atom
- Symmetry: No. 123

Structure (POSCAR):
```
InCoPt2
1.0
-1.4953 -1.5563 -3.3620
3.6786 -0.1832 -1.5513
0.4417 -3.6075 1.4735
Co In Pt
1 1 2
direct
0.5000 0.0000 0.5000
0.0000 0.5000 0.5000
0.0000 0.0000 0.0000
0.5000 0.5000 0.0000
```

Record 6
Compound: CaHoEr2Bi4
Source: the Alexandria database
Functional: GGA-PBE
Structure: relaxed

Output
- Crystal system: monoclinic
- DOS at the Fermi energy: 0.37 states/eV per atom
- Electronic total energy: -4.683 eV per atom
- Symmetry: No. 10

Structure (POSCAR):
```
CaHoEr2Bi4
1.0
4.4562 0.0000 0.0000
0.0000 7.7975 0.1617
0.0000 -2.7017 7.3199
Ca Ho Er Bi
1 1 2 4
direct
0.5000 0.5000 0.0000
0.0000 0.0000 0.0000
0.5000 0.0000 0.5000
0.0000 0.5000 0.5000
0.5000 0.2477 0.2537
0.5000 0.7523 0.7463
0.0000 0.2433 0.7426
0.0000 0.7567 0.2574
```

- Among the records above, which one has the highest DOS at the Fermi energy?
  PrNdLu4